# 1
{"formula": "Ca2LaOs", "functional": "PBE-GGA", "state": "relaxed", "total_magnetization_mub_per_cell": 0.0, "delta_e_f_ev_per_atom": 0.5222, "dos_at_fermi_per_ev_fu": 2.7, "e_tot_ev_per_atom": -4.518, "space_group": "No. 166", "cell": [[-11.1651, 1.3897, 1.8846], [-11.3436, -1.1310, -0.4326], [-10.8773, -1.8782, 2.8810]], "species": ["La", "Ca", "Os", "Ca"], "fractional_positions": [[0.2500, 0.2500, 0.2500], [0.4790, 0.4790, 0.4790], [0.7500, 0.7500, 0.7500], [0.0210, 0.0210, 0.0210]]}

***

# 2
{"formula": "Na3TiRe", "functional": "PBE-GGA", "state": "relaxed", "total_magnetization_mub_per_cell": 3.3, "delta_e_f_ev_per_atom": 2.0925, "dos_at_fermi_per_ev_fu": 13.9, "e_tot_ev_per_atom": -2.767, "space_group": "No. 221", "cell": [[5.4941, 0.0000, 0.0000], [0.0000, 5.4941, 0.0000], [0.0000, 0.0000, 5.4941]], "species": ["Ti", "Na", "Na", "Na", "Re"], "fractional_positions": [[0.5000, 0.5000, 0.5000], [0.0000, 0.5000, 0.0000], [0.5000, 0.0000, 0.0000], [0.0000, 0.0000, 0.5000], [0.0000, 0.0000, 0.0000]]}

***

# 3
{"formula": "AcPr3Dy", "functional": "PBE-GGA", "state": "relaxed", "total_magnetization_mub_per_cell": 0.0, "delta_e_f_ev_per_atom": 0.3284, "dos_at_fermi_per_ev_fu": 4.4, "e_tot_ev_per_atom": -4.281, "space_group": "No. 63", "cell": [[8.0782, 2.7903, 0.0000], [1.9269, 8.3265, 0.0000], [0.0000, 0.0000, 6.3273]], "species": ["Pr", "Pr", "Pr", "Dy", "Pr", "Pr", "Dy", "Ac", "Pr", "Ac"], "fractional_positions": [[0.3976, 0.7916, 0.7500], [0.2084, 0.6024, 0.2500], [0.6024, 0.2084, 0.2500], [0.3528, 0.3528, 0.7500], [0.0000, 0.0000, 0.0000], [0.7916, 0.3976, 0.7500], [0.6472, 0.6472, 0.2500], [0.7971, 0.7971, 0.7500], [0.0000, 0.0000, 0.5000], [0.2029, 0.2029, 0.2500]]}